# 1
Density functional theory data (GGA-PBE) for a relaxed Rb4Th3NiS8 crystal. Values from VASP.

Raw total energy in Ha/atom: -0.2015
Size of the total moment in μB per formula unit: 0.815

```
&SYSTEM
  ibrav = 0, nat = 16, ntyp = 4
/
ATOMIC_SPECIES
Rb 85.47 Rb.upf
Th 232.04 Th.upf
Ni 58.69 Ni.upf
S 32.06 S.upf
ATOMIC_POSITIONS crystal
Rb 0.500 0.000 0.000
Rb 0.500 0.000 0.500
Rb 0.000 0.000 0.000
Rb 0.000 0.000 0.500
Th 0.500 0.500 0.000
Th 0.500 0.500 0.500
Th 0.000 0.500 0.500
Ni 0.000 0.500 0.000
S 0.205 0.674 0.949
S 0.259 0.719 0.519
S 0.273 0.300 0.547
S 0.744 0.674 0.949
S 0.256 0.326 0.051
S 0.727 0.700 0.453
S 0.741 0.281 0.481
S 0.795 0.326 0.051
CELL_PARAMETERS angstrom
7.998 0.000 0.000
0.000 9.069 0.460
-3.999 -4.200 6.109
```

=====

# 2
Density functional theory data (GGA-PBE) for a relaxed NaGeOsO6 crystal. Values from VASP.

Raw total energy in Ha/atom: -0.2384
Size of the total moment in μB per formula unit: 0.000

```
&SYSTEM
  ibrav = 0, nat = 18, ntyp = 4
/
ATOMIC_SPECIES
Na 22.99 Na.upf
Ge 72.64 Ge.upf
Os 190.23 Os.upf
O 16.00 O.upf
ATOMIC_POSITIONS crystal
Na 0.000 0.000 0.000
Na 0.000 0.000 0.500
Ge 0.667 0.333 0.250
Ge 0.333 0.667 0.750
Os 0.333 0.667 0.250
Os 0.667 0.333 0.750
O 0.613 0.616 0.148
O 0.003 0.387 0.148
O 0.387 0.003 0.648
O 0.997 0.613 0.852
O 0.384 0.387 0.352
O 0.003 0.616 0.352
O 0.616 0.003 0.852
O 0.613 0.997 0.352
O 0.997 0.384 0.648
O 0.384 0.997 0.148
O 0.616 0.613 0.648
O 0.387 0.384 0.852
CELL_PARAMETERS angstrom
-2.008 -3.444 -3.225
1.289 -1.395 4.763
-9.588 2.480 3.322
```

=====

# 3
Density functional theory data (GGA-PBE) for a relaxed LiSmScGa crystal. Values from VASP.

Formation energy in eV per atom: -0.31
Size of the total moment in μB per formula unit: 0.000

```
&SYSTEM
  ibrav = 0, nat = 4, ntyp = 4
/
ATOMIC_SPECIES
Sc 44.96 Sc.upf
Ga 69.72 Ga.upf
Sm 150.36 Sm.upf
Li 6.94 Li.upf
ATOMIC_POSITIONS crystal
Sc 0.500 0.500 0.500
Ga 0.250 0.250 0.250
Sm 0.000 0.000 0.000
Li 0.750 0.750 0.750
CELL_PARAMETERS angstrom
5.001 0.000 0.000
2.501 4.331 0.000
2.501 1.444 4.084
```

=====

# 4
Density functional theory data (GGA-PBE) for a relaxed KYCr3 crystal. Values from VASP.

Offset from the most stable computed form in meV per atom: 0
Formation energy in eV per atom: 1.76
Size of the total moment in μB per formula unit: 14.051

```
&SYSTEM
  ibrav = 0, nat = 5, ntyp = 3
/
ATOMIC_SPECIES
Y 88.91 Y.upf
Cr 52.00 Cr.upf
K 39.10 K.upf
ATOMIC_POSITIONS crystal
Y 0.000 0.000 0.000
Cr 0.000 0.500 0.000
Cr 0.000 0.000 0.500
Cr 0.500 0.000 0.000
K 0.500 0.500 0.500
CELL_PARAMETERS angstrom
5.679 0.000 0.000
0.000 5.679 0.000
0.000 0.000 5.679
```

=====

# 5
Density functional theory data (GGA-PBE) for a relaxed Sr2Ca3Tl2 crystal. Values from VASP.

Formation energy in eV per atom: -0.28
Size of the total moment in μB per formula unit: 0.000

```
&SYSTEM
  ibrav = 0, nat = 7, ntyp = 3
/
ATOMIC_SPECIES
Sr 87.62 Sr.upf
Ca 40.08 Ca.upf
Tl 204.38 Tl.upf
ATOMIC_POSITIONS crystal
Sr 0.860 0.719 0.202
Sr 0.140 0.281 0.798
Ca 0.500 0.000 0.000
Ca 0.635 0.271 0.432
Ca 0.365 0.729 0.568
Tl 0.837 0.674 0.790
Tl 0.163 0.326 0.210
CELL_PARAMETERS angstrom
-2.663 -0.411 -4.567
2.301 -5.589 2.239
-7.726 1.820 4.341
```

=====

# 6
Density functional theory data (GGA-PBE) for a relaxed Sn3Te3Se crystal. Values from VASP.

Raw total energy in Ha/atom: -0.1393
Size of the total moment in μB per formula unit: 0.000

```
&SYSTEM
  ibrav = 0, nat = 14, ntyp = 3
/
ATOMIC_SPECIES
Sn 118.71 Sn.upf
Te 127.60 Te.upf
Se 78.96 Se.upf
ATOMIC_POSITIONS crystal
Sn 0.250 0.366 0.622
Sn 0.750 0.634 0.378
Sn 0.250 0.877 0.623
Sn 0.750 0.123 0.377
Sn 0.250 0.883 0.128
Sn 0.750 0.117 0.872
Te 0.250 0.380 0.356
Te 0.750 0.620 0.644
Te 0.250 0.864 0.879
Te 0.750 0.136 0.121
Te 0.250 0.358 0.870
Te 0.750 0.642 0.130
Se 0.250 0.878 0.376
Se 0.750 0.122 0.624
CELL_PARAMETERS angstrom
4.245 0.000 0.000
0.000 8.764 -0.074
0.000 0.515 12.156
```

=====

# 7
Density functional theory data (GGA-PBE) for a relaxed Hf2SiB2Ru5 crystal. Values from VASP.

Raw total energy in Ha/atom: -0.3406
Size of the total moment in μB per formula unit: 0.000

```
&SYSTEM
  ibrav = 0, nat = 20, ntyp = 4
/
ATOMIC_SPECIES
Hf 178.49 Hf.upf
Si 28.09 Si.upf
B 10.81 B.upf
Ru 101.07 Ru.upf
ATOMIC_POSITIONS crystal
Hf 0.000 0.675 0.175
Hf 0.000 0.325 0.825
Hf 0.000 0.175 0.325
Hf 0.000 0.825 0.675
Si 0.000 0.000 0.000
Si 0.000 0.500 0.500
B 0.000 0.124 0.624
B 0.000 0.876 0.376
B 0.000 0.624 0.876
B 0.000 0.376 0.124
Ru 0.500 0.211 0.069
Ru 0.500 0.789 0.931
Ru 0.500 0.069 0.789
Ru 0.500 0.711 0.431
Ru 0.500 0.931 0.211
Ru 0.500 0.289 0.569
Ru 0.500 0.569 0.711
Ru 0.500 0.431 0.289
Ru 0.500 0.500 0.000
Ru 0.500 0.000 0.500
CELL_PARAMETERS angstrom
-1.689 2.386 0.843
-3.279 0.743 -8.673
-7.008 -5.722 2.159
```

=====

# 8
Density functional theory data (GGA-PBE) for a relaxed BeW crystal. Values from VASP.

Offset from the most stable computed form in meV per atom: 583
Formation energy in eV per atom: 0.36
Size of the total moment in μB per formula unit: 0.000

```
&SYSTEM
  ibrav = 0, nat = 4, ntyp = 2
/
ATOMIC_SPECIES
Be 9.01 Be.upf
W 183.84 W.upf
ATOMIC_POSITIONS crystal
Be 0.000 0.000 0.989
Be 0.500 0.500 0.261
W 0.000 0.000 0.492
W 0.500 0.500 0.758
CELL_PARAMETERS angstrom
-1.440 -1.743 -2.254
2.825 -0.546 -1.383
0.597 -4.225 2.887
```

=====

# 9
Density functional theory data (GGA-PBE) for a relaxed Tb2Ga3CuNi4 crystal. Values from VASP.

Formation energy in eV per atom: -0.49
Size of the total moment in μB per formula unit: 0.000

```
&SYSTEM
  ibrav = 0, nat = 10, ntyp = 4
/
ATOMIC_SPECIES
Tb 158.93 Tb.upf
Ga 69.72 Ga.upf
Cu 63.55 Cu.upf
Ni 58.69 Ni.upf
ATOMIC_POSITIONS crystal
Tb 0.500 0.000 0.261
Tb 0.000 0.500 0.739
Ga 0.000 0.000 0.500
Ga 0.500 0.000 0.868
Ga 0.000 0.500 0.132
Cu 0.500 0.500 0.500
Ni 0.500 0.500 0.000
Ni 0.000 0.000 0.000
Ni 0.500 0.000 0.643
Ni 0.000 0.500 0.357
CELL_PARAMETERS angstrom
3.881 0.000 0.000
0.000 3.881 0.000
0.000 0.000 10.700
```

=====

# 10
Density functional theory data (GGA-PBE) for a relaxed Tb2SmBiC crystal. Values from VASP.

Formation energy in eV per atom: -0.51
Size of the total moment in μB per formula unit: 0.000

```
&SYSTEM
  ibrav = 0, nat = 5, ntyp = 4
/
ATOMIC_SPECIES
Tb 158.93 Tb.upf
Sm 150.36 Sm.upf
Bi 208.98 Bi.upf
C 12.01 C.upf
ATOMIC_POSITIONS crystal
Tb 0.000 0.000 0.500
Tb 0.000 0.500 0.000
Sm 0.500 0.000 0.000
Bi 0.500 0.500 0.500
C 0.000 0.000 0.000
CELL_PARAMETERS angstrom
5.069 0.000 0.000
0.000 4.947 0.000
0.000 0.000 4.947
```

=====

# 11
Density functional theory data (GGA-PBE) for a relaxed Y2Pt2Cl crystal. Values from VASP.

Raw total energy in Ha/atom: -0.2439
Size of the total moment in μB per formula unit: 0.000

```
&SYSTEM
  ibrav = 0, nat = 10, ntyp = 3
/
ATOMIC_SPECIES
Y 88.91 Y.upf
Pt 195.08 Pt.upf
Cl 35.45 Cl.upf
ATOMIC_POSITIONS crystal
Y 0.325 0.825 0.000
Y 0.825 0.675 0.000
Y 0.675 0.175 0.000
Y 0.175 0.325 0.000
Pt 0.123 0.623 0.500
Pt 0.623 0.877 0.500
Pt 0.877 0.377 0.500
Pt 0.377 0.123 0.500
Cl 0.000 0.000 0.000
Cl 0.500 0.500 0.000
CELL_PARAMETERS angstrom
-7.477 0.409 -2.327
2.228 -1.349 -7.396
-0.371 -3.643 0.553
```

=====

# 12
Density functional theory data (GGA-PBE) for a relaxed ErPu2Pb crystal. Values from VASP.

Offset from the most stable computed form in meV per atom: 266
Formation energy in eV per atom: 0.10
Size of the total moment in μB per formula unit: 12.851

```
&SYSTEM
  ibrav = 0, nat = 4, ntyp = 3
/
ATOMIC_SPECIES
Pb 207.20 Pb.upf
Er 167.26 Er.upf
Pu 244.00 Pu.upf
ATOMIC_POSITIONS crystal
Pb 0.500 0.500 0.500
Er 0.000 0.000 0.000
Pu 0.250 0.250 0.250
Pu 0.750 0.750 0.750
CELL_PARAMETERS angstrom
5.430 0.000 0.000
2.715 4.703 0.000
2.715 1.568 4.434
```